The following is a DFT calculation (PBE-GGA) of an optimized crystal structure of VHAuBr2.

Properties
Crystal system: tetragonal
Magnetization in μB/atom: 0.6032
Total DFT energy (no corrections) in eV/atom: -3.406

Lattice parameters (Å, degrees): 4.990 5.232 4.990 90.00 90.00 90.00
Sites, in units of the cell vectors:
Br 0.000 0.000 0.500
V 0.000 0.000 0.000
Br 0.500 0.000 0.000
H 0.500 0.500 0.500
Au 0.000 0.500 0.000